Er5Hg2Pt | PBE-GGA | optimized geometry

The space group is Pbam (No. 55) and the conventional cell measures 6.9189, 12.2728 and 4.8664 Å, with angles of 90.00, 90.00 and 90.00 degrees. The asymmetric unit holds Er at (0.0000, 0.0000, 0.0000), Er at (0.1421, 0.2882, 0.0000), Er at (0.1734, 0.5879, 0.5000), Hg at (0.0863, 0.8376, 0.5000) and Pt at (0.0000, 0.5000, 0.0000).

The calculation puts the formation energy at -13.9 kcal/mol of atoms. The calculation puts the calculated total energy at -4.284 eV/atom.

Er8HgPt2 | PBE-GGA | optimized geometry

The space group is C2/m (No. 12) and the conventional cell measures 8.5850, 13.2984 and 5.4478 Å, with angles of 90.00, 105.26 and 90.00 degrees. The asymmetric unit holds Er at (0.0000, 0.2391, 0.0000), Er at (0.1163, 0.5000, 0.8070), Er at (0.2051, 0.1266, 0.5856), Hg at (0.0000, 0.0000, 0.0000) and Pt at (0.0000, 0.3049, 0.5000).

The calculation puts the formation energy at -11.7 kcal/mol of atoms. The calculation puts the calculated total energy at -4.953 eV/atom.

Er6Hg2Pt | PBE-GGA | optimized geometry

The space group is P2_1/c (No. 14) and the conventional cell measures 6.7902, 7.4256 and 12.1614 Å, with angles of 90.00, 123.48 and 90.00 degrees. The asymmetric unit holds Er at (0.1150, 0.0182, 0.2422), Er at (0.2153, 0.6952, 0.0523), Er at (0.3732, 0.1799, 0.0562), Hg at (0.2990, 0.1014, 0.7485) and Pt at (0.5000, 0.0000, 0.5000).

The calculation puts the formation energy at -10.0 kcal/mol of atoms. The calculation puts the calculated total energy at -4.213 eV/atom.

Er2Hg2Pt | PBE-GGA | optimized geometry

The space group is Cmmm (No. 65) and the conventional cell measures 3.5279, 19.7862 and 3.4551 Å, with angles of 90.00, 90.00 and 90.00 degrees. The asymmetric unit holds Er at (0.0000, 0.0849, 0.0000), Hg at (0.0000, 0.3103, 0.5000) and Pt at (0.0000, 0.5000, 0.5000).

The calculation puts the formation energy at -15.5 kcal/mol of atoms. The calculation puts the calculated total energy at -3.825 eV/atom.

ErPuHgPt | PBE-GGA | optimized geometry

The space group is F-43m (No. 216) and the conventional cell measures 7.2080, 7.2080 and 7.2080 Å, with angles of 90.00, 90.00 and 90.00 degrees. The asymmetric unit holds Er at (0.0000, 0.0000, 0.0000), Pu at (0.0000, 0.0000, 0.5000), Hg at (0.2500, 0.2500, 0.2500) and Pt at (0.2500, 0.2500, 0.7500).

The calculation puts the formation energy at -13.2 kcal/mol of atoms. The calculation puts the calculated total energy at -6.884 eV/atom.

ErHgPtRh | PBE-GGA | optimized geometry

The space group is F-43m (No. 216) and the conventional cell measures 6.6858, 6.6858 and 6.6858 Å, with angles of 90.00, 90.00 and 90.00 degrees. The asymmetric unit holds Er at (0.0000, 0.0000, 0.0000), Hg at (0.0000, 0.0000, 0.5000), Pt at (0.2500, 0.2500, 0.2500) and Rh at (0.2500, 0.2500, 0.7500).

The calculation puts the formation energy at -14.6 kcal/mol of atoms. The calculation puts the calculated total energy at -5.197 eV/atom.